Compound: YSb3N
Source: Alexandria
Functional: PBE
Structure: relaxed

Lattice parameters (Å, degrees): 5.807 5.807 5.807 90.00 90.00 90.00
Space group Pm-3m (No. 221)
One atom of each set of equivalent atoms:
Y 0.000 0.000 0.000 (multiplicity 1)
Sb 0.000 0.000 0.500 (multiplicity 3)
N 0.500 0.500 0.500 (multiplicity 1)

Properties
Total energy (eV/atom): -4.14
DOS(E_F) (states/eV/atom): 0.4451


Compound: Y12Sb3N5
Source: Alexandria
Functional: PBE
Structure: relaxed

Lattice parameters (Å, degrees): 15.625 15.625 15.625 90.00 90.00 90.00
Space group Ia-3d (No. 230)
One atom of each set of equivalent atoms:
Y 0.039 0.049 0.648 (multiplicity 96)
Sb 0.000 0.250 0.125 (multiplicity 24)
N 0.000 0.000 0.000 (multiplicity 16)
N 0.000 0.250 0.375 (multiplicity 24)

Properties
Total energy (eV/atom): -7.61
DOS(E_F) (states/eV/atom): 0.7570


Compound: Y2SbN
Source: Alexandria
Functional: PBE
Structure: relaxed

Lattice parameters (Å, degrees): 4.533 4.533 8.946 90.00 90.00 90.00
Space group P4/nmm (No. 129, origin choice 2)
One atom of each set of equivalent atoms:
Y 0.250 0.250 0.174 (multiplicity 2)
Y 0.250 0.750 0.500 (multiplicity 2)
Sb 0.250 0.250 0.811 (multiplicity 2)
N 0.250 0.250 0.422 (multiplicity 2)

Properties
Total energy (eV/atom): -7.72
DOS(E_F) (states/eV/atom): 0.1208


Compound: YSbN
Source: Alexandria
Functional: PBE
Structure: relaxed

Lattice parameters (Å, degrees): 6.978 4.565 9.183 90.00 90.00 90.00
Space group Pnma (No. 62)
One atom of each set of equivalent atoms:
Y 0.027 0.250 0.193 (multiplicity 4)
Sb 0.218 0.750 0.401 (multiplicity 4)
N 0.155 0.750 0.615 (multiplicity 4)

Properties
Total energy (eV/atom): -6.72
DOS(E_F) (states/eV/atom): 0.4395


Compound: Y4Sb2N
Source: Alexandria
Functional: PBE
Structure: relaxed

Lattice parameters (Å, degrees): 12.130 3.870 8.149 90.00 115.87 90.00
Space group C2/m (No. 12)
One atom of each set of equivalent atoms:
Y 0.059 0.000 0.327 (multiplicity 4)
Y 0.140 0.500 0.051 (multiplicity 4)
Sb 0.160 0.500 0.680 (multiplicity 4)
N 0.000 0.000 0.000 (multiplicity 2)

Properties
Total energy (eV/atom): -7.11
DOS(E_F) (states/eV/atom): 1.0156


Compound: YSb3N
Source: Alexandria
Functional: PBE
Structure: relaxed

Lattice parameters (Å, degrees): 4.802 4.802 4.802 90.00 90.00 90.00
Space group Pm-3m (No. 221)
One atom of each set of equivalent atoms:
Y 0.000 0.000 0.000 (multiplicity 1)
Sb 0.000 0.500 0.500 (multiplicity 3)
N 0.500 0.500 0.500 (multiplicity 1)

Properties
Total energy (eV/atom): -5.39
DOS(E_F) (states/eV/atom): 0.5201


Compound: YSbN2
Source: Alexandria
Functional: PBE
Structure: relaxed

Lattice parameters (Å, degrees): 5.190 5.190 11.203 90.00 90.00 90.00
Space group I-42d (No. 122)
One atom of each set of equivalent atoms:
Y 0.000 0.000 0.000 (multiplicity 4)
Sb 0.000 0.000 0.500 (multiplicity 4)
N 0.247 0.250 0.125 (multiplicity 8)

Properties
Total energy (eV/atom): -7.05
DOS(E_F) (states/eV/atom): 0.1588


Compound: Zn3SbN
Source: Alexandria
Functional: PBE
Structure: relaxed

Lattice parameters (Å, degrees): 5.878 8.955 6.139 90.00 90.00 90.00
Space group Imma (No. 74)
One atom of each set of equivalent atoms:
Zn 0.000 0.250 0.061 (multiplicity 4)
Zn 0.250 0.040 0.750 (multiplicity 8)
Sb 0.000 0.250 0.502 (multiplicity 4)
N 0.000 0.000 0.000 (multiplicity 4)

Properties
Total energy (eV/atom): -2.97
DOS(E_F) (states/eV/atom): 0.2645


Compound: Zn3SbN
Source: Alexandria
Functional: PBE
Structure: relaxed

Lattice parameters (Å, degrees): 4.306 4.306 4.306 90.00 90.00 90.00
Space group Pm-3m (No. 221)
One atom of each set of equivalent atoms:
Zn 0.000 0.000 0.500 (multiplicity 3)
Sb 0.500 0.500 0.500 (multiplicity 1)
N 0.000 0.000 0.000 (multiplicity 1)

Properties
Total energy (eV/atom): -2.95
DOS(E_F) (states/eV/atom): 0.1788


Compound: Zn3SbN3
Source: Alexandria
Functional: PBE
Structure: relaxed

Lattice parameters (Å, degrees): 6.878 6.640 5.667 90.00 125.34 90.00
Space group Cm (No. 8)
One atom of each set of equivalent atoms:
Zn 0.000 0.000 0.000 (multiplicity 2)
Zn 0.393 0.281 0.401 (multiplicity 4)
Sb 0.417 0.000 0.887 (multiplicity 2)
N 0.034 0.265 0.183 (multiplicity 4)
N 0.055 0.000 0.695 (multiplicity 2)

Properties
Total energy (eV/atom): -4.60
DOS(E_F) (states/eV/atom): 0.0000


> What is the formula in the tenth record?

Zn3SbN3


> Among the records above, which one has the lowest DOS(E_F)?

Zn3SbN3


> Among the records above, which one has the highest DOS(E_F)?

Y4Sb2N


> What is the DOS(E_F) in the ninth record?

0.1788 states/eV/atom